## LiGdHoTm (GGA-PBE)

Data for a relaxed LiGdHoTm crystal.

Properties
As for the space group: F-43m (216). For the formation energy, the calculation gives 0.162 eV/atom.

Unit cell a=7.702 b=7.702 c=7.702 alpha=90.00 beta=90.00 gamma=90.00
Fractional positions:
Li1 0.000 0.000 0.000
Li2 0.000 0.500 0.500
Li3 0.500 0.000 0.500
Li4 0.500 0.500 0.000
Gd1 0.250 0.250 0.750
Gd2 0.250 0.750 0.250
Gd3 0.750 0.250 0.250
Gd4 0.750 0.750 0.750
Ho1 0.250 0.250 0.250
Ho2 0.250 0.750 0.750
Ho3 0.750 0.250 0.750
Ho4 0.750 0.750 0.250
Tm1 0.000 0.000 0.500
Tm2 0.000 0.500 0.000
Tm3 0.500 0.000 0.000
Tm4 0.500 0.500 0.500

## La3SmPb2Se (GGA-PBE)

Data for a relaxed La3SmPb2Se crystal.

Properties
The uncorrected formation energy comes out at -0.723 eV/atom. As for the space group: Immm (71).

Unit cell a=5.404 b=5.509 c=17.026 alpha=90.00 beta=90.00 gamma=90.00
Fractional positions:
La1 0.000 0.000 0.000
La2 0.000 0.500 0.174
La3 0.000 0.500 0.826
La4 0.500 0.000 0.326
La5 0.500 0.000 0.674
La6 0.500 0.500 0.500
Sm1 0.000 0.000 0.500
Sm2 0.500 0.500 0.000
Pb1 0.000 0.500 0.368
Pb2 0.000 0.500 0.632
Pb3 0.500 0.000 0.132
Pb4 0.500 0.000 0.868
Se1 0.000 0.500 0.000
Se2 0.500 0.000 0.500

## VMo2Se2S4 (GGA-PBE)

Data for a relaxed VMo2Se2S4 crystal.

Properties
The uncorrected formation energy comes out at -0.807 eV/atom. As for the space group: P3m1 (156).

Unit cell a=3.230 b=3.230 c=21.303 alpha=90.00 beta=90.00 gamma=120.00
Fractional positions:
V1 0.000 0.000 0.000
Mo1 0.000 0.000 0.649
Mo2 0.667 0.333 0.326
Se1 0.667 0.333 0.077
Se2 0.667 0.333 0.923
S1 0.000 0.000 0.253
S2 0.000 0.000 0.399
S3 0.667 0.333 0.576
S4 0.667 0.333 0.722

## ErPOs (GGA-PBE)

Data for a relaxed ErPOs crystal.

Properties
As for the space group: Fddd (70). For the formation energy, the calculation gives -0.256 eV/atom.

Unit cell a=8.426 b=7.360 c=6.188 alpha=76.37 beta=58.09 gamma=45.53
Fractional positions:
Er1 0.065 0.065 0.685
Er2 0.315 0.315 0.935
Er3 0.685 0.685 0.065
Er4 0.935 0.935 0.315
P1 0.082 0.668 0.668
P2 0.332 0.918 0.918
P3 0.668 0.082 0.082
P4 0.918 0.332 0.332
Os1 0.000 0.500 0.500
Os2 0.500 0.000 0.500
Os3 0.500 0.500 0.000
Os4 0.500 0.500 0.500

## ErAl3ZnCu (GGA-PBE)

Data for a relaxed ErAl3ZnCu crystal.

Properties
As for the space group: Cmcm (63). For the formation energy, the calculation gives -0.124 eV/atom.

Unit cell a=7.001 b=7.001 c=5.668 alpha=90.00 beta=90.00 gamma=128.31
Fractional positions:
Er1 0.205 0.795 0.750
Er2 0.795 0.205 0.250
Al1 0.212 0.212 0.000
Al2 0.212 0.212 0.500
Al3 0.363 0.637 0.250
Al4 0.637 0.363 0.750
Al5 0.788 0.788 0.000
Al6 0.788 0.788 0.500
Zn1 0.155 0.845 0.250
Zn2 0.845 0.155 0.750
Cu1 0.419 0.581 0.750
Cu2 0.581 0.419 0.250

## Hf6Zn2Sn (GGA-PBE)

Data for a relaxed Hf6Zn2Sn crystal.

Properties
As for the space group: Immm (71). For the formation energy, the calculation gives -0.121 eV/atom.

Unit cell a=7.897 b=7.897 c=7.897 alpha=115.57 beta=113.12 gamma=100.13
Fractional positions:
Hf1 0.029 0.817 0.212
Hf2 0.248 0.543 0.294
Hf3 0.248 0.954 0.706
Hf4 0.292 0.296 0.588
Hf5 0.292 0.704 0.996
Hf6 0.396 0.183 0.212
Hf7 0.604 0.817 0.788
Hf8 0.708 0.296 0.004
Hf9 0.708 0.704 0.412
Hf10 0.752 0.046 0.294
Hf11 0.752 0.457 0.706
Hf12 0.971 0.183 0.788
Zn1 0.000 0.152 0.152
Zn2 0.000 0.848 0.848
Zn3 0.379 0.379 0.000
Zn4 0.621 0.621 0.000
Sn1 0.000 0.500 0.500
Sn2 0.500 0.000 0.500

| no. | density of states at the Fermi level (states/eV/cell) |
| --- | --- |
| 1 | 13.02 |
| 2 | 9.83 |
| 3 | 1.39 |
| 4 | 10.07 |
| 5 | 5.18 |
| 6 | 20.50 |